No. 1
## GePt (PBE)

Data for GePt after structural relaxation.

DOS at the Fermi energy: 4.63 states/eV per cell
energy relative to the elements: -311 meV/atom
theoretical density: 12.146 g/cm³
total magnetic moment: 0.0 μB/f.u.
E_tot: -5.640 eV/atom

Unit cell a=12.661 b=3.678 c=4.716 alpha=90.00 beta=90.00 gamma=90.00
Sites, in units of the cell vectors:
Ge1 0.831 0.395 0.817
Ge2 0.669 0.605 0.317
Ge3 0.169 0.395 0.817
Ge4 0.331 0.605 0.317
Ge5 0.000 0.850 0.203
Ge6 0.500 0.150 0.703
Pt1 0.808 0.114 0.298
Pt2 0.692 0.886 0.798
Pt3 0.192 0.114 0.298
Pt4 0.308 0.886 0.798
Pt5 0.000 0.348 0.570
Pt6 0.500 0.652 0.070

***

No. 2
## Ge6Pt5 (PBE)

Data for Ge6Pt5 after structural relaxation.

DOS at the Fermi energy: 3.75 states/eV per cell
energy relative to the elements: -288 meV/atom
theoretical density: 11.265 g/cm³
total magnetic moment: 0.0 μB/f.u.
E_tot: -5.552 eV/atom

Unit cell a=5.723 b=6.227 c=6.829 alpha=82.83 beta=74.24 gamma=62.65
Sites, in units of the cell vectors:
Ge1 0.701 0.000 0.793
Ge2 0.299 0.000 0.207
Ge3 0.487 0.620 0.706
Ge4 0.893 0.620 0.294
Ge5 0.513 0.380 0.294
Ge6 0.107 0.380 0.706
Pt1 0.500 0.000 0.500
Pt2 0.320 0.361 0.000
Pt3 0.680 0.639 0.000
Pt4 0.128 0.744 0.500
Pt5 0.872 0.256 0.500

***

No. 3
## Ge2Pt13 (PBE)

Data for Ge2Pt13 after structural relaxation.

DOS at the Fermi energy: 15.48 states/eV per cell
energy relative to the elements: -74 meV/atom
theoretical density: 18.356 g/cm³
total magnetic moment: 0.0 μB/f.u.
E_tot: -5.925 eV/atom

Unit cell a=5.455 b=7.394 c=7.384 alpha=123.11 beta=95.35 gamma=97.40
Sites, in units of the cell vectors:
Ge1 0.865 0.795 0.593
Ge2 0.135 0.205 0.407
Pt1 0.903 0.700 0.110
Pt2 0.097 0.300 0.890
Pt3 0.000 0.000 0.000
Pt4 0.248 0.946 0.508
Pt5 0.752 0.054 0.492
Pt6 0.060 0.558 0.716
Pt7 0.940 0.442 0.284
Pt8 0.453 0.552 0.329
Pt9 0.547 0.448 0.671
Pt10 0.492 0.849 0.788
Pt11 0.508 0.151 0.212
Pt12 0.584 0.271 0.908
Pt13 0.416 0.729 0.092

***

No. 4
## GePt (PBE)

Data for GePt after structural relaxation.

DOS at the Fermi energy: 2.28 states/eV per cell
energy relative to the elements: -388 meV/atom
theoretical density: 12.818 g/cm³
total magnetic moment: 0.0 μB/f.u.
E_tot: -5.717 eV/atom

Unit cell a=3.072 b=9.030 c=5.001 alpha=90.00 beta=90.00 gamma=90.00
Sites, in units of the cell vectors:
Ge1 0.000 0.814 0.250
Ge2 0.000 0.186 0.750
Ge3 0.500 0.314 0.250
Ge4 0.500 0.686 0.750
Pt1 0.000 0.093 0.250
Pt2 0.000 0.907 0.750
Pt3 0.500 0.593 0.250
Pt4 0.500 0.407 0.750

***

No. 5
## GePt (PBE)

Data for GePt after structural relaxation.

DOS at the Fermi energy: 3.64 states/eV per cell
energy relative to the elements: -219 meV/atom
theoretical density: 9.998 g/cm³
total magnetic moment: 0.0 μB/f.u.
E_tot: -5.548 eV/atom

Unit cell a=5.624 b=5.624 c=5.624 alpha=90.00 beta=90.00 gamma=90.00
Sites, in units of the cell vectors:
Ge1 0.250 0.250 0.250
Ge2 0.250 0.750 0.750
Ge3 0.750 0.250 0.750
Ge4 0.750 0.750 0.250
Pt1 0.000 0.000 0.000
Pt2 0.000 0.500 0.500
Pt3 0.500 0.000 0.500
Pt4 0.500 0.500 0.000

***

No. 6
## GePt4 (PBE)

Data for GePt4 after structural relaxation.

DOS at the Fermi energy: 9.66 states/eV per cell
energy relative to the elements: -150 meV/atom
theoretical density: 17.781 g/cm³
total magnetic moment: 0.0 μB/f.u.
E above lowest polymorph: 0.000 eV/atom
E_tot: -5.906 eV/atom

Unit cell a=6.949 b=6.949 c=5.459 alpha=99.92 beta=99.92 gamma=136.84
Sites, in units of the cell vectors:
Ge1 0.376 0.376 0.000
Ge2 0.626 0.126 0.500
Pt1 0.555 0.443 0.618
Pt2 0.826 0.937 0.382
Pt3 0.792 0.001 0.897
Pt4 0.103 0.895 0.103
Pt5 0.251 0.542 0.397
Pt6 0.145 0.853 0.603
Pt7 0.187 0.576 0.882
Pt8 0.693 0.305 0.118

***

No. 7
## GePt2 (PBE)

Data for GePt2 after structural relaxation.

DOS at the Fermi energy: 2.50 states/eV per cell
energy relative to the elements: -366 meV/atom
theoretical density: 16.150 g/cm³
total magnetic moment: 0.0 μB/f.u.
E_tot: -5.932 eV/atom

Unit cell a=6.798 b=6.798 c=3.567 alpha=90.00 beta=90.00 gamma=120.00
Sites, in units of the cell vectors:
Ge1 0.667 0.333 0.000
Ge2 0.333 0.667 0.000
Ge3 0.000 0.000 0.500
Pt1 0.620 0.000 0.500
Pt2 0.380 0.380 0.500
Pt3 0.000 0.620 0.500
Pt4 0.000 0.282 0.000
Pt5 0.718 0.718 0.000
Pt6 0.282 0.000 0.000

***

No. 8
## Ge2Pt3 (PBE)

Data for Ge2Pt3 after structural relaxation.

DOS at the Fermi energy: 4.05 states/eV per cell
energy relative to the elements: -443 meV/atom
theoretical density: 14.575 g/cm³
total magnetic moment: 0.0 μB/f.u.
E above lowest polymorph: 0.004 eV/atom
E_tot: -5.915 eV/atom

Unit cell a=6.409 b=6.409 c=7.682 alpha=90.00 beta=90.00 gamma=148.16
Sites, in units of the cell vectors:
Ge1 0.500 0.500 0.000
Ge2 0.757 0.243 0.250
Ge3 0.500 0.500 0.500
Ge4 0.243 0.757 0.750
Pt1 0.840 0.160 0.941
Pt2 0.160 0.840 0.441
Pt3 0.034 0.966 0.750
Pt4 0.160 0.840 0.059
Pt5 0.966 0.034 0.250
Pt6 0.840 0.160 0.559

***

No. 9
## GePt (PBE)

Data for GePt after structural relaxation.

DOS at the Fermi energy: 1.58 states/eV per cell
energy relative to the elements: -273 meV/atom
theoretical density: 13.363 g/cm³
total magnetic moment: 0.0 μB/f.u.
E_tot: -5.602 eV/atom

Unit cell a=3.455 b=4.586 c=4.671 alpha=103.57 beta=111.70 gamma=90.00
Sites, in units of the cell vectors:
Ge1 0.117 0.308 0.234
Ge2 0.883 0.692 0.766
Pt1 0.614 0.821 0.227
Pt2 0.386 0.179 0.773

***

No. 10
## GePt2 (PBE)

Data for GePt2 after structural relaxation.

DOS at the Fermi energy: 1.20 states/eV per cell
energy relative to the elements: -200 meV/atom
theoretical density: 15.300 g/cm³
total magnetic moment: 0.0 μB/f.u.
E_tot: -5.767 eV/atom

Unit cell a=3.696 b=3.696 c=5.297 alpha=121.26 beta=121.26 gamma=87.65
Sites, in units of the cell vectors:
Ge1 0.500 0.500 0.000
Pt1 0.148 0.148 0.345
Pt2 0.852 0.852 0.655

***

No. 11
## GePt (PBE)

Data for GePt after structural relaxation.

DOS at the Fermi energy: 5.59 states/eV per cell
energy relative to the elements: -157 meV/atom
theoretical density: 8.952 g/cm³
total magnetic moment: 0.0 μB/f.u.
E_tot: -5.486 eV/atom

Unit cell a=7.167 b=6.592 c=8.410 alpha=90.00 beta=90.00 gamma=90.00
Sites, in units of the cell vectors:
Ge1 0.311 0.559 0.531
Ge2 0.811 0.941 0.469
Ge3 0.689 0.059 0.969
Ge4 0.189 0.441 0.031
Ge5 0.328 0.038 0.327
Ge6 0.828 0.462 0.673
Ge7 0.672 0.538 0.173
Ge8 0.172 0.962 0.827
Pt1 0.644 0.614 0.471
Pt2 0.144 0.886 0.529
Pt3 0.356 0.114 0.029
Pt4 0.856 0.386 0.971
Pt5 0.373 0.401 0.275
Pt6 0.873 0.099 0.725
Pt7 0.627 0.901 0.225
Pt8 0.127 0.599 0.775

***

No. 12
## GePt3 (PBE)

Data for GePt3 after structural relaxation.

DOS at the Fermi energy: 2.61 states/eV per cell
energy relative to the elements: -119 meV/atom
theoretical density: 17.310 g/cm³
total magnetic moment: 0.0 μB/f.u.
E_tot: -5.804 eV/atom

Unit cell a=4.142 b=4.142 c=4.702 alpha=116.13 beta=116.13 gamma=90.00
Sites, in units of the cell vectors:
Ge1 0.000 0.000 0.000
Pt1 0.750 0.250 0.500
Pt2 0.250 0.750 0.500
Pt3 0.500 0.500 0.000